(1)
Density functional theory data (GGA-PBE) for crystalline LaCd2Co at its relaxed geometry.

Lattice parameters (Å, degrees): 5.9150 5.9150 3.1373 90.00 90.00 124.27
Sites, in units of the cell vectors:
Cd 0.0000 0.0000 0.0000
Cd 0.5000 0.5000 0.0000
Co 0.5000 0.0000 0.5000
La 0.0000 0.5000 0.5000

- Crystal system: orthorhombic
- ΔH_f (0 K): 0.29 eV per atom
- DOS at the Fermi energy: 3.3 states/eV per cell


(2)
Density functional theory data (GGA-PBE) for crystalline ThCdGa2 at its relaxed geometry.

Lattice parameters (Å, degrees): 4.3027 4.6279 4.6279 90.00 90.00 90.00
Sites, in units of the cell vectors:
Th 0.5000 0.5000 0.5000
Cd 0.5000 0.0000 0.0000
Ga 0.0000 0.0000 0.5000
Ga 0.0000 0.5000 0.0000

- Crystal system: tetragonal
- Distance to the lowest polymorph of the same formula: 0.0 meV per atom
- ΔH_f (0 K): -0.35 eV per atom
- DOS at the Fermi energy: 2.0 states/eV per cell


(3)
Density functional theory data (GGA-PBE) for crystalline Ca4AsCl5 at its relaxed geometry.

Lattice parameters (Å, degrees): 4.1663 8.1691 9.1142 105.37 103.21 90.00
Sites, in units of the cell vectors:
Ca 0.9990 0.7550 0.9981
Ca 0.3319 0.8842 0.6639
Ca 0.6681 0.1158 0.3361
Ca 0.0010 0.2450 0.0019
Cl 0.5000 0.5000 0.0000
Cl 0.8299 0.1266 0.6598
Cl 0.8340 0.6661 0.6680
Cl 0.1701 0.8734 0.3402
Cl 0.1660 0.3339 0.3320
As 0.5000 0.0000 0.0000

- E: -43.0 eV/f.u.
- Crystal system: monoclinic
- DOS at the Fermi energy: 0.0 states/eV per cell


(4)
Density functional theory data (GGA-PBE) for crystalline PrAgO3 at its relaxed geometry.

Lattice parameters (Å, degrees): 4.5443 4.7331 6.8929 90.00 109.25 90.00
Sites, in units of the cell vectors:
O 0.3068 0.9103 0.6135
O 0.3068 0.5897 0.6135
O 0.9399 0.2500 0.8792
O 0.0601 0.7500 0.1208
O 0.6932 0.0897 0.3865
O 0.6932 0.4103 0.3865
Pr 0.8653 0.7500 0.7304
Pr 0.1347 0.2500 0.2696
Ag 0.4428 0.2500 0.8849
Ag 0.5572 0.7500 0.1151

- E: -30.1 eV/f.u.
- Crystal system: orthorhombic
- DOS at the Fermi energy: 1.0 states/eV per cell